# 1
A plane-wave DFT calculation with GGA+U was carried out for crystalline MnAgNO2 at its relaxed geometry.

CIF file:
```
data_MnAgNO2
_chemical_formula_sum 'Mn1 Ag1 N1 O2'
_space_group_name_H-M_alt 'P 4/m m m'
_space_group_IT_number 123
_space_group_name_Hall '-P 4 2'
_cell_length_a 3.8827
_cell_length_b 3.8827
_cell_length_c 3.8746
_cell_angle_alpha 90.00
_cell_angle_beta 90.00
_cell_angle_gamma 90.00
loop_
_atom_site_label
_atom_site_type_symbol
_atom_site_fract_x
_atom_site_fract_y
_atom_site_fract_z
Mn1 Mn 0.0000 0.0000 0.0000
Ag1 Ag 0.5000 0.5000 0.5000
N1 N 0.0000 0.0000 0.5000
O1 O 0.0000 0.5000 0.0000
```

Values from the calculation:
total moment = 0.20 μB per atom
total energy = -5.5574 eV per atom
DOS at the Fermi energy = 2.5 states/eV per cell

# 2
A plane-wave DFT calculation with GGA+U was carried out for crystalline MnAgNO2 at its relaxed geometry.

CIF file:
```
data_MnAgNO2
_chemical_formula_sum 'Mn1 Ag1 N1 O2'
_space_group_name_H-M_alt 'P 4/m m m'
_space_group_IT_number 123
_space_group_name_Hall '-P 4 2'
_cell_length_a 4.1080
_cell_length_b 4.1080
_cell_length_c 3.9448
_cell_angle_alpha 90.00
_cell_angle_beta 90.00
_cell_angle_gamma 90.00
loop_
_atom_site_label
_atom_site_type_symbol
_atom_site_fract_x
_atom_site_fract_y
_atom_site_fract_z
Mn1 Mn 0.0000 0.0000 0.0000
Ag1 Ag 0.5000 0.5000 0.5000
N1 N 0.5000 0.5000 0.0000
O1 O 0.0000 0.5000 0.5000
```

Values from the calculation:
total moment = 0.74 μB per atom
total energy = -4.9623 eV per atom
DOS at the Fermi energy = 2.3 states/eV per cell

Number 1: calculated density 5.94 g cm⁻³. Number 2: calculated density 5.21 g cm⁻³.